First-principles (GGA-PBE) data for Li2TcH6Au after structural relaxation, as listed in OQMD via LeMat-Bulk.

The structure belongs to space group Fm-3m (No. 225); the cell edges are 7.131, 7.131 and 7.131 Å and the angles 90.00°, 90.00° and 90.00°. The distinct sites, in fractional coordinates, are Li at (0.250, 0.250, 0.250), Tc at (0.000, 0.000, 0.000), H at (0.000, 0.000, 0.247) and Au at (0.000, 0.000, 0.500).

The value obtained for the total energy is -36.6 eV/f.u.